(1)
20
Lattice="-6.737 3.184 7.256 -5.016 -1.433 -8.998 4.357 -8.954 3.005" Properties=species:S:1:pos:R:3 comment="Cs4Pu3HgBr12 | Alexandria | PBE-GGA | relaxed" spacegroup="No. 229" vol_a3_per_atom=43.31 energy_ev_per_atom=-4.86 pbc="T T T"
Pu -1.190 -2.885 5.130
Pu -5.877 0.875 -0.871
Pu -0.329 -5.193 -2.997
Br -1.743 -4.225 7.514
Br -3.268 -4.756 -3.432
Br -0.482 -7.606 -4.389
Br -0.925 -6.636 -0.431
Br -0.637 -1.545 2.747
Br -6.472 -0.567 1.694
Br -1.355 -5.481 3.632
Br -6.041 -1.721 -2.369
Br -4.129 -2.447 4.695
Br -0.176 -2.781 -1.604
Br -8.607 1.282 -1.276
Br -3.146 0.469 -0.466
Cs 2.178 -4.477 1.502
Cs -3.698 -3.601 0.631
Cs -2.508 -0.717 -4.499
Cs -3.369 1.592 3.628
Hg 0.000 0.000 0.000

---

(2)
9
Lattice="7.758 0.505 0.730 -3.280 7.048 -0.730 -3.280 -3.159 6.342" Properties=species:S:1:pos:R:3 comment="Cs2PuHg2Br4 | Alexandria | PBE-GGA | relaxed" spacegroup="No. 139" vol_a3_per_atom=40.56 energy_ev_per_atom=-3.81 pbc="T T T"
Br -0.895 3.249 4.690
Br -3.280 -0.774 4.690
Br 2.092 1.145 1.652
Br -3.280 4.663 0.923
Cs 0.598 -0.355 4.939
Cs 0.598 4.749 1.403
Hg -4.333 2.568 3.707
Hg -2.228 1.321 1.906
Pu 0.000 0.000 0.000

---

(3)
4
Lattice="6.360 0.000 0.000 3.180 5.508 0.000 3.180 1.836 5.193" Properties=species:S:1:pos:R:3 comment="CsRbHgBr | Alexandria | PBE-GGA | relaxed" spacegroup="No. 216" vol_a3_per_atom=45.48 energy_ev_per_atom=-1.75 pbc="T T T"
Hg 9.540 5.508 3.895
Cs 0.000 0.000 0.000
Rb 6.360 3.672 2.596
Br 3.180 1.836 1.298

---

(4)
12
Lattice="5.708 -0.004 0.017 0.003 5.708 0.017 2.806 2.803 14.398" Properties=species:S:1:pos:R:3 comment="Cs2RbHg2Br7 | Alexandria | PBE-GGA | relaxed" spacegroup="No. 12" vol_a3_per_atom=39.04 energy_ev_per_atom=-2.36 pbc="T T T"
Rb 0.000 0.000 0.000
Br 2.856 2.852 0.017
Br 5.703 2.846 2.664
Br 2.853 5.699 2.664
Br 5.665 2.808 11.769
Br 2.815 5.661 11.769
Br 5.679 5.672 8.803
Br 2.839 2.835 5.629
Cs 2.818 2.814 9.310
Cs 5.700 5.693 5.123
Hg 5.670 5.663 11.561
Hg 2.848 2.844 2.872

---

(5)
20
Lattice="9.830 -0.932 0.148 -2.128 9.642 0.148 -2.139 -2.420 10.282" Properties=species:S:1:pos:R:3 comment="CsRbHg2Br6 | Alexandria | PBE-GGA | relaxed" spacegroup="No. 15" vol_a3_per_atom=48.09 energy_ev_per_atom=-2.24 pbc="T T T"
Br 0.483 0.333 5.966
Br 1.837 7.101 7.168
Br 1.341 1.730 0.826
Br -2.330 2.389 8.550
Br 1.167 4.188 4.358
Br 2.618 5.830 1.079
Br 2.944 0.461 9.499
Br 5.079 5.958 4.611
Br 4.221 4.560 9.752
Br 7.892 3.902 2.027
Br 4.396 2.102 6.219
Br 3.725 -0.810 3.409
Hg 5.032 2.077 9.342
Hg 2.515 6.458 4.201
Hg 0.531 4.214 1.236
Hg 3.047 -0.167 6.376
Cs 7.576 -2.172 7.859
Cs -2.014 8.463 2.718
Rb 4.257 2.918 2.718
Rb 1.305 3.373 7.859

---

(6)
16
Lattice="-2.841 4.843 -3.847 -7.667 -2.891 -3.999 -8.915 6.879 9.221" Properties=species:S:1:pos:R:3 comment="Cs2RbHgBr4 | Alexandria | PBE-GGA | relaxed" spacegroup="No. 70" vol_a3_per_atom=50.92 energy_ev_per_atom=-2.42 pbc="T T T"
Br -5.933 3.050 1.913
Br -10.517 2.436 -0.924
Br -4.489 2.576 -2.188
Br -10.566 6.340 6.466
Br -16.220 8.446 1.822
Br -13.625 6.011 -0.722
Br -7.572 0.299 -3.350
Br -8.771 6.165 2.481
Hg -9.001 3.205 1.649
Hg -1.421 2.422 -1.924
Rb -10.422 5.626 -0.275
Rb 0.000 0.000 0.000
Cs -7.558 3.924 -4.533
Cs -13.285 7.329 3.983
Cs -6.052 5.176 4.963
Cs -5.704 6.546 0.411

---

(7)
18
Lattice="-1.468 -4.379 -1.816 6.718 -2.548 7.491 -11.476 -0.368 10.166" Properties=species:S:1:pos:R:3 comment="Cs2RbHgBr5 | Alexandria | PBE-GGA | relaxed" spacegroup="No. 36" vol_a3_per_atom=42.62 energy_ev_per_atom=-2.59 pbc="T T T"
Rb -3.252 -5.186 8.352
Rb 2.125 -1.946 2.972
Hg 0.820 -4.756 10.803
Hg -11.279 -2.675 8.788
Br -0.100 -4.359 3.810
Br -3.495 -2.528 2.140
Br -4.437 -2.882 10.534
Br 4.541 -3.610 5.033
Br -3.121 -4.780 14.047
Br -0.191 -3.452 8.475
Br -5.066 -3.502 5.758
Br -1.103 -6.815 10.542
Br 0.151 -0.311 0.627
Br -9.044 -3.940 10.031
Cs -1.831 -1.594 5.324
Cs -6.047 -5.754 11.981
Cs 1.798 -6.023 6.288
Cs -6.727 -1.230 8.404

---

(8)
5
Lattice="-3.364 4.889 3.140 -5.389 -1.268 -3.799 -2.307 -4.698 4.842" Properties=species:S:1:pos:R:3 comment="CsRb2HgBr | Alexandria | PBE-GGA | relaxed" spacegroup="No. 123" vol_a3_per_atom=64.28 energy_ev_per_atom=-1.62 pbc="T T T"
Rb -1.682 2.444 1.570
Rb -2.695 -0.634 -1.899
Br 0.000 0.000 0.000
Cs -1.154 -2.349 2.421
Hg -5.530 -0.538 2.092

---

(9)
12
Lattice="5.710 -0.004 0.024 0.003 5.710 0.024 2.788 2.785 14.099" Properties=species:S:1:pos:R:3 comment="CsRb2Hg2Br7 | Alexandria | PBE-GGA | relaxed" spacegroup="No. 12" vol_a3_per_atom=38.25 energy_ev_per_atom=-2.35 pbc="T T T"
Br 5.657 5.650 8.507
Br 2.845 2.842 5.638
Br 5.661 2.795 11.359
Br 2.857 2.853 0.024
Br 5.701 2.834 2.786
Br 2.841 5.697 2.786
Br 2.802 5.658 11.359
Cs 0.000 0.000 0.000
Rb 5.680 5.673 5.037
Rb 2.822 2.818 9.108
Hg 2.844 2.840 2.892
Hg 5.658 5.652 11.254

---

(10)
18
Lattice="-3.330 -6.618 -4.947 5.868 -1.786 6.461 -7.617 -1.109 6.610" Properties=species:S:1:pos:R:3 comment="CsReHgBr6 | Alexandria | PBE-GGA | relaxed" spacegroup="No. 163" vol_a3_per_atom=38.74 energy_ev_per_atom=-3.20 pbc="T T T"
Br -2.451 -2.168 6.265
Br -5.341 -3.900 7.097
Br -2.542 -5.640 5.578
Br -1.886 -6.591 -1.613
Br -2.628 -7.346 1.859
Br -1.614 -3.174 -0.725
Br 0.262 -5.613 1.027
Br -2.537 -3.873 2.547
Br -3.466 -6.339 8.850
Br -3.193 -2.922 9.737
Br -4.607 -5.111 -0.046
Br -0.472 -4.402 8.170
Cs 0.897 -3.674 4.311
Cs -5.977 -5.839 3.813
Re -2.168 -5.285 0.508
Re -2.911 -4.228 7.616
Hg 0.000 0.000 0.000
Hg -3.808 -0.554 3.305

---

(11)
10
Lattice="-5.856 1.037 -5.069 -4.420 -4.983 4.087 -7.012 2.159 2.520" Properties=species:S:1:pos:R:3 comment="Cs2HgRhBr6 | Alexandria | PBE-GGA | relaxed" spacegroup="No. 139" vol_a3_per_atom=33.25 energy_ev_per_atom=-2.87 pbc="T T T"
Br -2.765 -1.062 -0.264
Br -5.470 -0.583 -2.606
Br -7.511 -2.884 -0.718
Br -6.021 -0.027 0.927
Br -4.806 -3.363 1.623
Br -11.268 -1.760 0.610
Rh -5.138 -1.973 -0.491
Cs -8.285 -2.399 3.058
Cs -9.004 0.612 -1.520
Hg 0.000 0.000 0.000

---

(12)
9
Lattice="-3.789 -4.856 4.002 7.007 0.121 2.199 -2.853 6.713 0.863" Properties=species:S:1:pos:R:3 comment="Cs2Hg2RhBr4 | Alexandria | PBE-GGA | relaxed" spacegroup="No. 139" vol_a3_per_atom=33.89 energy_ev_per_atom=-2.72 pbc="T T T"
Cs 2.648 -0.659 3.866
Cs -2.282 2.637 3.198
Br 1.091 2.588 4.718
Br -0.762 5.316 1.147
Br 4.917 1.519 1.916
Br -0.726 -0.610 2.346
Rh 0.000 0.000 0.000
Hg 2.798 4.604 2.063
Hg 1.356 2.231 1.000

---

(13)
12
Lattice="6.968 0.000 0.000 0.000 10.557 1.735 0.000 -2.019 6.723" Properties=species:S:1:pos:R:3 comment="CsHg2S2Br | Alexandria | PBE-GGA | relaxed" spacegroup="No. 11" vol_a3_per_atom=43.24 energy_ev_per_atom=-2.54 pbc="T T T"
Hg 0.024 0.974 1.823
Hg 3.460 0.974 1.823
Hg 3.508 7.564 6.635
Hg 6.944 7.564 6.635
S 5.226 2.417 2.484
S 1.742 9.946 3.140
S 1.742 6.121 5.974
S 5.226 -1.408 5.318
Cs 5.226 2.193 6.103
Cs 1.742 6.345 2.355
Br 1.742 1.331 7.120
Br 5.226 7.207 1.338

---

(14)
5
Lattice="7.128 0.000 0.000 0.000 5.512 0.000 0.000 0.000 7.128" Properties=species:S:1:pos:R:3 comment="Cs2ScHgBr | Alexandria | PBE-GGA | relaxed" spacegroup="No. 123" vol_a3_per_atom=56.01 energy_ev_per_atom=-2.15 pbc="T T T"
Cs 3.564 0.000 0.000
Cs 0.000 0.000 3.564
Br 3.564 2.756 3.564
Hg 0.000 0.000 0.000
Sc 0.000 2.756 0.000

---

(15)
5
Lattice="-0.836 4.473 -2.757 -5.180 -1.169 -0.325 -1.045 3.132 5.398" Properties=species:S:1:pos:R:3 comment="CsHgSe2Br | Alexandria | PBE-GGA | relaxed" spacegroup="No. 123" vol_a3_per_atom=35.82 energy_ev_per_atom=-2.30 polymorph_energy_ev_per_fu=0.000 pbc="T T T"
Cs -3.531 3.218 1.158
Hg 0.000 0.000 0.000
Se -0.418 2.236 -1.378
Se -2.590 -0.585 -0.162
Br -0.523 1.566 2.699

---

(16)
5
Lattice="7.022 0.000 0.000 0.000 7.022 0.000 0.000 0.000 5.362" Properties=species:S:1:pos:R:3 comment="Cs2HgSeBr | Alexandria | PBE-GGA | relaxed" spacegroup="No. 123" vol_a3_per_atom=52.87 energy_ev_per_atom=-2.45 pbc="T T T"
Hg 0.000 0.000 2.681
Se 0.000 0.000 0.000
Br 3.511 3.511 2.681
Cs 3.511 0.000 0.000
Cs 0.000 3.511 0.000

---

(17)
5
Lattice="5.989 0.000 0.000 0.000 5.989 0.000 0.000 0.000 6.670" Properties=species:S:1:pos:R:3 comment="CsHgSe2Br | Alexandria | PBE-GGA | relaxed" spacegroup="No. 123" vol_a3_per_atom=47.84 energy_ev_per_atom=-1.39 polymorph_energy_ev_per_fu=4.549 pbc="T T T"
Se 2.994 0.000 0.000
Se 0.000 2.994 0.000
Br 0.000 0.000 3.335
Hg 2.994 2.994 3.335
Cs 0.000 0.000 0.000

---

(18)
5
Lattice="-3.090 -4.435 -0.688 4.486 -3.078 -0.306 -0.193 -1.021 7.441" Properties=species:S:1:pos:R:3 comment="CsHg2SeBr | Alexandria | PBE-GGA | relaxed" spacegroup="No. 123" vol_a3_per_atom=44.62 energy_ev_per_atom=-1.94 pbc="T T T"
Hg 2.243 -1.539 -0.153
Hg -1.545 -2.218 -0.344
Cs -0.096 -0.510 3.721
Se 0.000 0.000 0.000
Br 0.602 -4.267 3.223

---

(19)
10
Lattice="8.177 0.000 0.000 0.000 8.177 0.000 4.089 4.089 5.822" Properties=species:S:1:pos:R:3 comment="Cs2HgSeBr6 | Alexandria | PBE-GGA | relaxed" spacegroup="No. 139" vol_a3_per_atom=38.93 energy_ev_per_atom=-2.46 pbc="T T T"
Br 5.938 5.938 0.000
Br 8.177 8.177 2.526
Br 2.239 5.938 0.000
Br 5.938 2.239 0.000
Br 2.239 2.239 0.000
Br 4.089 4.089 3.297
Hg 0.000 0.000 0.000
Cs 8.177 4.089 2.911
Cs 4.089 8.177 2.911
Se 4.089 4.089 0.000

---

(20)
11
Lattice="-6.107 0.778 -4.459 -0.163 -5.163 5.803 -2.426 9.707 5.015" Properties=species:S:1:pos:R:3 comment="Cs2Sn2HgBr6 | Alexandria | PBE-GGA | relaxed" spacegroup="No. 12" vol_a3_per_atom=50.43 energy_ev_per_atom=-2.85 pbc="T T T"
Hg -4.267 5.242 0.278
Br -1.641 -2.720 4.959
Br -4.052 7.660 3.593
Br -7.056 8.042 1.399
Br -6.773 4.590 3.597
Br -4.644 -2.338 2.766
Br -1.923 0.732 2.762
Cs -4.518 0.100 -0.275
Cs -4.179 5.222 6.634
Sn -7.809 2.384 4.630
Sn -0.888 2.938 1.729

---

(21)
5
Lattice="5.812 0.000 0.000 0.000 5.812 0.000 0.000 0.000 6.181" Properties=species:S:1:pos:R:3 comment="CsSnHg2Br | Alexandria | PBE-GGA | relaxed" spacegroup="No. 123" vol_a3_per_atom=41.76 energy_ev_per_atom=-1.86 pbc="T T T"
Br 0.000 0.000 3.091
Sn 0.000 0.000 0.000
Cs 2.906 2.906 3.091
Hg 2.906 0.000 0.000
Hg 0.000 2.906 0.000

---

(22)
18
Lattice="7.412 0.000 0.000 -3.706 6.419 0.000 0.000 0.000 16.102" Properties=species:S:1:pos:R:3 comment="CsSnHgBr6 | Alexandria | PBE-GGA | relaxed" spacegroup="No. 163" vol_a3_per_atom=42.55 energy_ev_per_atom=-2.51 pbc="T T T"
Cs 0.000 0.000 8.051
Cs 0.000 0.000 0.000
Br -2.275 3.995 13.728
Br -1.384 2.451 10.424
Br 2.275 3.995 10.424
Br 5.981 2.424 2.373
Br 2.814 0.027 2.373
Br 4.597 0.027 5.678
Br -0.892 6.392 10.424
Br 5.089 3.968 5.678
Br 2.322 3.968 2.373
Br 1.384 2.451 13.728
Br 0.892 6.392 13.728
Br 1.430 2.424 5.678
Sn 0.000 4.279 12.076
Sn 3.706 2.140 4.025
Hg 3.706 2.140 12.076
Hg 0.000 4.279 4.025